A geometry-optimized Y2Ho3Co2 structure, computed with GGA-PBE.

- spin magnetization (μB per cell) = 0.00
- space-group type = No. 12
- E_form (eV/atom) = -0.169
- total DFT energy (no corrections) (Ry per atom) = -0.442

Unit cell a=6.2375 b=6.2375 c=8.8195 alpha=115.25 beta=115.25 gamma=34.25
Closest atoms and distances in Å follow each position.
Atoms (fractional coordinates):
1 Y 0.1703 0.1703 0.3030  2 Co 2.74
2 Y 0.8297 0.8297 0.6970  2 Co 2.74
3 Ho 0.3813 0.3813 0.0722  3 Co 2.75-2.85
4 Ho 0.5000 0.5000 0.5000  4 Co 2.88
5 Ho 0.6187 0.6187 0.9278  3 Co 2.75-2.85
6 Co 0.1763 0.1763 0.7411  2 Y 2.74, 5 Ho 2.75-2.88
7 Co 0.8237 0.8237 0.2589  2 Y 2.74, 5 Ho 2.75-2.88